# PBE YZr2Si, relaxed
data_YZr2Si
_cell_length_a 3.142
_cell_length_b 3.142
_cell_length_c 9.111
_cell_angle_alpha 90.00
_cell_angle_beta 90.00
_cell_angle_gamma 90.00
_space_group_name_H-M_alt 'P 4/m m m'
_space_group_IT_number 123
_space_group_name_Hall '-P 4 2'
loop_
_atom_site_label
_atom_site_fract_x
_atom_site_fract_y
_atom_site_fract_z
Y1 0.000 0.000 0.000
Zr1 0.500 0.500 0.303
Si1 0.000 0.000 0.500
# - Energy above the most stable polymorph in this dataset: 54 kJ/mol of formula units
# - Magnetization: 0.0 μB/cell
# - ΔE_f (raw): -0.15 eV per atom